[1]
# Pr5Sc4Hg4 (GGA-PBE, relaxed)
data_Pr5Sc4Hg4
_chemical_formula_sum 'Pr10 Sc8 Hg8'
_cell_length_a 12.202
_cell_length_b 12.202
_cell_length_c 4.960
_cell_angle_alpha 90.00
_cell_angle_beta 90.00
_cell_angle_gamma 90.00
_space_group_name_H-M_alt 'I 4/m'
_space_group_IT_number 87
_space_group_name_Hall '-I 4'
loop_
_atom_site_label
_atom_site_type_symbol
_atom_site_fract_x
_atom_site_fract_y
_atom_site_fract_z
Pr1 Pr 0.000 0.000 0.000
Pr2 Pr 0.124 0.808 0.500
Sc1 Sc 0.086 0.405 0.500
Hg1 Hg 0.076 0.254 0.000
# - Formation energy from the elements: -0.285 eV per atom

=====

[2]
# Pr2ScHg4 (GGA-PBE, relaxed)
data_Pr2ScHg4
_chemical_formula_sum 'Pr6 Sc3 Hg12'
_cell_length_a 4.8697
_cell_length_b 4.8697
_cell_length_c 29.5212
_cell_angle_alpha 90.00
_cell_angle_beta 90.00
_cell_angle_gamma 120.00
_space_group_name_H-M_alt 'R -3 m'
_space_group_IT_number 166
_space_group_name_Hall '-R 3 2"'
loop_
_atom_site_label
_atom_site_type_symbol
_atom_site_fract_x
_atom_site_fract_y
_atom_site_fract_z
Pr1 Pr 0.0000 0.0000 0.2468
Sc1 Sc 0.0000 0.0000 0.0000
Hg1 Hg 0.0000 0.0000 0.1379
Hg2 Hg 0.0000 0.0000 0.3634
# - Formation energy from the elements: -0.339 eV per atom

=====

[3]
# Pr3ScHg (GGA-PBE, relaxed)
data_Pr3ScHg
_chemical_formula_sum 'Pr12 Sc4 Hg4'
_cell_length_a 22.491
_cell_length_b 3.597
_cell_length_c 8.119
_cell_angle_alpha 90.00
_cell_angle_beta 105.34
_cell_angle_gamma 90.00
_space_group_name_H-M_alt 'C 1 2/m 1'
_space_group_IT_number 12
_space_group_name_Hall '-C 2y'
loop_
_atom_site_label
_atom_site_type_symbol
_atom_site_fract_x
_atom_site_fract_y
_atom_site_fract_z
Pr1 Pr 0.015 0.000 0.245
Pr2 Pr 0.125 0.500 0.038
Pr3 Pr 0.178 0.000 0.463
Sc1 Sc 0.239 0.500 0.832
Hg1 Hg 0.085 0.500 0.617
# - Formation energy from the elements: -0.068 eV per atom